! TiZnTcO6 PBE relaxed; values from VASP
! N(E_F)   6.08 states/eV/cell
! Formation energy without anion corrections   -1795.6 meV/atom
! Space-group type   No. 163
&SYSTEM
  ibrav = 0, nat = 18, ntyp = 4
/
ATOMIC_SPECIES
O 16.00 O.upf
Tc 98.00 Tc.upf
Ti 47.87 Ti.upf
Zn 65.41 Zn.upf
CELL_PARAMETERS angstrom
-2.5241 -1.5375 -4.1068
-1.8280 -0.9931 4.6122
-4.5504 7.8007 -0.1238
ATOMIC_POSITIONS crystal
O 0.6463 0.6512 0.1332
O 0.3537 0.3488 0.8668
O 0.6463 0.9951 0.3668
O 0.9951 0.6463 0.8668
O 0.0049 0.6512 0.3668
O 0.3488 0.9951 0.1332
O 0.6512 0.0049 0.8668
O 0.3488 0.3537 0.3668
O 0.9951 0.3488 0.6332
O 0.0049 0.3537 0.1332
O 0.3537 0.0049 0.6332
O 0.6512 0.6463 0.6332
Tc 0.6667 0.3333 0.7500
Tc 0.3333 0.6667 0.2500
Ti 0.3333 0.6667 0.7500
Ti 0.6667 0.3333 0.2500
Zn 0.0000 0.0000 0.5000
Zn 0.0000 0.0000 0.0000

=====

! GdTiCoCu PBE relaxed; values from VASP
! N(E_F)   3.80 states/eV/cell
! ΔE_f   -18 meV per atom
! Space-group type   No. 216
&SYSTEM
  ibrav = 0, nat = 4, ntyp = 4
/
ATOMIC_SPECIES
Gd 157.25 Gd.upf
Co 58.93 Co.upf
Cu 63.55 Cu.upf
Ti 47.87 Ti.upf
CELL_PARAMETERS angstrom
-4.0020 -1.7627 1.3944
-0.0573 -3.7260 2.6799
-1.2563 0.3570 4.4003
ATOMIC_POSITIONS crystal
Gd 0.7500 0.7500 0.7500
Co 0.0000 0.0000 0.0000
Cu 0.5000 0.5000 0.5000
Ti 0.2500 0.2500 0.2500

=====

! SmGdH2 PBE relaxed; values from VASP
! N(E_F)   2.25 states/eV/cell
! E   -6.770 eV per atom
! Space-group type   No. 166
&SYSTEM
  ibrav = 0, nat = 4, ntyp = 3
/
ATOMIC_SPECIES
H 1.01 H.upf
Gd 157.25 Gd.upf
Sm 150.36 Sm.upf
CELL_PARAMETERS angstrom
-1.1121 -2.5522 2.1980
1.8740 -0.7752 2.9102
-2.7837 2.7946 4.6987
ATOMIC_POSITIONS crystal
H 0.7518 0.7518 0.7447
H 0.2482 0.2482 0.2553
Gd 0.5000 0.5000 0.5000
Sm 0.0000 0.0000 0.0000

=====

! PrY6Sc PBE relaxed; values from VASP
! N(E_F)   14.43 states/eV/cell
! ΔE_f   205 meV per atom
! Space-group type   No. 2
&SYSTEM
  ibrav = 0, nat = 8, ntyp = 3
/
ATOMIC_SPECIES
Y 88.91 Y.upf
Sc 44.96 Sc.upf
Pr 140.91 Pr.upf
CELL_PARAMETERS angstrom
6.2822 -0.1387 2.4845
-0.0134 6.4608 0.8340
1.1524 0.7932 6.9286
ATOMIC_POSITIONS crystal
Y 0.4385 0.2738 0.4631
Y 0.4565 0.2572 0.9879
Y 0.0866 0.7587 0.5034
Y 0.5615 0.7262 0.5369
Y 0.5435 0.7428 0.0121
Y 0.9134 0.2413 0.4966
Sc 0.0000 0.5000 0.0000
Pr 0.0000 0.0000 0.0000

=====

! Ti4SiGe PBE relaxed; values from VASP
! N(E_F)   7.42 states/eV/cell
! Formation energy without anion corrections   -615.0 meV/atom
! Space-group type   No. 124
&SYSTEM
  ibrav = 0, nat = 12, ntyp = 3
/
ATOMIC_SPECIES
Si 28.09 Si.upf
Ti 47.87 Ti.upf
Ge 72.64 Ge.upf
CELL_PARAMETERS angstrom
-4.0807 1.9503 -2.1720
-3.3836 -1.6101 4.9112
1.2121 5.4592 2.6248
ATOMIC_POSITIONS crystal
Si 0.7500 0.5000 0.5000
Si 0.2500 0.5000 0.5000
Ti 0.5000 0.1564 0.3512
Ti 0.5000 0.6488 0.1564
Ti 0.5000 0.8436 0.6488
Ti 0.5000 0.3512 0.8436
Ti 0.0000 0.8436 0.3512
Ti 0.0000 0.6488 0.8436
Ti 0.0000 0.1564 0.6488
Ti 0.0000 0.3512 0.1564
Ge 0.7500 0.0000 0.0000
Ge 0.2500 0.0000 0.0000

=====

! KNa4Ag3F12 PBE relaxed; values from VASP
! N(E_F)   12.09 states/eV/cell
! Formation energy without anion corrections   -1980.1 meV/atom
! Space-group type   No. 204
&SYSTEM
  ibrav = 0, nat = 20, ntyp = 4
/
ATOMIC_SPECIES
F 19.00 F.upf
Na 22.99 Na.upf
K 39.10 K.upf
Ag 107.87 Ag.upf
CELL_PARAMETERS angstrom
7.3078 0.0000 0.0000
-2.4359 6.8899 0.0000
-2.4359 -3.4449 5.9668
ATOMIC_POSITIONS crystal
F 0.8461 0.6797 0.1665
F 0.8335 0.5132 0.6797
F 0.8335 0.1539 0.3203
F 0.3203 0.8335 0.1539
F 0.1665 0.8461 0.6797
F 0.6797 0.8335 0.5132
F 0.3203 0.1665 0.4868
F 0.1539 0.3203 0.8335
F 0.4868 0.3203 0.1665
F 0.5132 0.6797 0.8335
F 0.1665 0.4868 0.3203
F 0.6797 0.1665 0.8461
Na 0.0000 0.0000 0.5000
Na 0.5000 0.0000 0.0000
Na 0.0000 0.5000 0.0000
Na 0.5000 0.5000 0.5000
K 0.0000 0.0000 0.0000
Ag 0.0000 0.5000 0.5000
Ag 0.5000 0.0000 0.5000
Ag 0.5000 0.5000 0.0000